Version P
Material: ZrNb3Se
Method: DFT, PBE
State: relaxed

* DOS at the Fermi energy: 6.117 states/eV per cell

Unit cell a=4.9530 b=4.9530 c=4.9530 alpha=90.00 beta=90.00 gamma=90.00
Atoms (fractional coordinates):
Nb: 0.0000 0.0000 0.5000
Nb: 0.5000 0.0000 0.0000
Nb: 0.0000 0.5000 0.0000
Zr: 0.0000 0.0000 0.0000
Se: 0.5000 0.5000 0.5000


Version Q
Material: ZrNb3Se
Method: DFT, PBE
State: relaxed

* DOS at the Fermi energy: 5.763 states/eV per cell

Unit cell a=4.7696 b=4.7696 c=4.7696 alpha=90.00 beta=90.00 gamma=90.00
Atoms (fractional coordinates):
Zr: 0.5000 0.5000 0.5000
Nb: 0.5000 0.0000 0.0000
Nb: 0.0000 0.5000 0.0000
Nb: 0.0000 0.0000 0.5000
Se: 0.0000 0.0000 0.0000


Which one sits at the top of the stability order? version Q does.


Version P
Material: Nb3Si
Method: DFT, PBE
State: relaxed

* DOS at the Fermi energy: 5.506 states/eV per cell

Unit cell a=4.0800 b=4.0800 c=4.0800 alpha=90.00 beta=90.00 gamma=90.00
Atoms (fractional coordinates):
Nb: 0.5000 0.0000 0.5000
Nb: 0.0000 0.5000 0.5000
Nb: 0.5000 0.5000 0.0000
Si: 0.0000 0.0000 0.0000


Version Q
Material: Nb3Si
Method: DFT, PBE
State: relaxed

* DOS at the Fermi energy: 3.771 states/eV per cell

Unit cell a=3.3305 b=2.7069 c=8.0644 alpha=90.00 beta=90.00 gamma=90.00
Atoms (fractional coordinates):
Nb: 0.0000 0.5000 0.4675
Nb: 0.5000 0.0000 0.7285
Nb: 0.5000 0.5000 0.1635
Si: 0.0000 0.0000 0.9738


Version R
Material: Nb3Si
Method: DFT, PBE
State: relaxed

* DOS at the Fermi energy: 2.443 states/eV per cell

Unit cell a=3.1990 b=3.1990 c=8.0661 alpha=90.00 beta=90.00 gamma=119.97
Atoms (fractional coordinates):
Nb: 0.0000 0.0000 0.4837
Nb: 0.0000 0.0000 0.0163
Nb: 0.6665 0.3335 0.7500
Si: 0.3335 0.6665 0.2500


Which one sits at the top of the stability order? version P does.


Version P
Material: Nb5Si3
Method: DFT, PBE
State: relaxed

* DOS at the Fermi energy: 8.046 states/eV per cell

Unit cell a=7.5690 b=7.5690 c=7.5690 alpha=96.52 beta=96.52 gamma=140.61
Atoms (fractional coordinates):
Si: 0.1648 0.6648 0.8296
Si: 0.7500 0.7500 0.0000
Si: 0.2500 0.2500 0.0000
Si: 0.6648 0.8352 0.5000
Si: 0.8352 0.3352 0.1704
Si: 0.3352 0.1648 0.5000
Nb: 0.2809 0.4242 0.7051
Nb: 0.0758 0.2191 0.2949
Nb: 0.2191 0.9242 0.1432
Nb: 0.4242 0.7191 0.1432
Nb: 0.5758 0.2809 0.8568
Nb: 0.9242 0.7809 0.7051
Nb: 0.7191 0.5758 0.2949
Nb: 0.7500 0.2500 0.5000
Nb: 0.7809 0.0758 0.8568
Nb: 0.2500 0.7500 0.5000


Version Q
Material: Nb5Si3
Method: DFT, PBE
State: relaxed

* DOS at the Fermi energy: 13.983 states/eV per cell

Unit cell a=7.5790 b=7.5790 c=5.2881 alpha=90.00 beta=90.00 gamma=120.00
Atoms (fractional coordinates):
Nb: 0.3333 0.6667 0.5000
Nb: 0.0000 0.2497 0.2500
Nb: 0.3333 0.6667 0.0000
Nb: 0.7503 0.0000 0.7500
Nb: 0.6667 0.3333 0.5000
Nb: 0.0000 0.7503 0.7500
Nb: 0.2497 0.2497 0.7500
Nb: 0.6667 0.3333 0.0000
Nb: 0.2497 0.0000 0.2500
Nb: 0.7503 0.7503 0.2500
Si: 0.0000 0.6070 0.2500
Si: 0.6070 0.0000 0.2500
Si: 0.0000 0.3930 0.7500
Si: 0.6070 0.6070 0.7500
Si: 0.3930 0.3930 0.2500
Si: 0.3930 0.0000 0.7500


Which one sits at the top of the stability order? version P does.


Version P
Material: Nb4Si
Method: DFT, PBE
State: relaxed

* DOS at the Fermi energy: 8.138 states/eV per cell

Unit cell a=6.3162 b=6.3162 c=6.3162 alpha=104.41 beta=104.41 gamma=120.15
Atoms (fractional coordinates):
Nb: 0.1512 0.3432 0.1920
Nb: 0.0408 0.8488 0.1920
Nb: 0.6568 0.8488 0.8080
Nb: 0.7092 0.4012 0.3080
Nb: 0.5988 0.2908 0.6920
Nb: 0.5988 0.9068 0.3080
Nb: 0.0932 0.4012 0.6920
Nb: 0.1512 0.9592 0.8080
Si: 0.2500 0.7500 0.5000
Si: 0.5000 0.5000 0.0000


Version Q
Material: Nb4Si
Method: DFT, PBE
State: relaxed

* DOS at the Fermi energy: 7.114 states/eV per cell

Unit cell a=4.6599 b=4.6599 c=4.6599 alpha=90.00 beta=90.00 gamma=90.00
Atoms (fractional coordinates):
Nb: 0.5000 0.0000 0.5000
Nb: 0.0000 0.0000 0.0000
Nb: 0.5000 0.5000 0.0000
Nb: 0.0000 0.5000 0.5000
Si: 0.5000 0.5000 0.5000


Which one sits at the top of the stability order? version P does.